(1)
This record from the Alexandria database describes a relaxed structure of CaAlCo. The functional is PBE.

Output
Calculated formation energy = 0.1724 eV/atom
VASP energy = -4.11 eV/atom
Symmetry = F-43m (216)

a = 4.4150 Å, b = 4.4150 Å, c = 4.4150 Å
α = 60.00°, β = 60.00°, γ = 60.00°
Fractional positions:
Ca (0.5000, 0.5000, 0.5000)
Al (0.0000, 0.0000, 0.0000)
Co (0.7500, 0.7500, 0.7500)

=====

(2)
This record from the Alexandria database describes a relaxed structure of CsMg2VCl8. The functional is PBE.

Output
VASP energy = -3.92 eV/atom
Symmetry = P-1 (2)

a = 6.4004 Å, b = 6.4143 Å, c = 9.0998 Å
α = 73.42°, β = 73.87°, γ = 71.71°
Each line ends with the local moment (μB).
Fractional positions:
Cl (0.7608, 0.7678, 0.0340)  -0.03
Cl (0.1875, 0.7242, 0.2008)  -0.01
Cl (0.2713, 0.8062, 0.8045)  -0.01
V (0.0000, 0.0000, 0.0000)  1.88
Cl (0.6502, 0.6703, 0.4716)  0.00
Cl (0.2392, 0.2322, 0.9660)  -0.03
Cl (0.3498, 0.3297, 0.5284)  0.00
Cl (0.8125, 0.2758, 0.7992)  -0.01
Cs (0.0000, 0.0000, 0.5000)  0.00
Mg (0.4469, 0.4453, 0.7257)  0.00
Mg (0.5531, 0.5547, 0.2743)  0.00
Cl (0.7287, 0.1938, 0.1955)  -0.01

=====

(3)
This record from the Alexandria database describes a relaxed structure of TaIr4. The functional is PBE.

Output
Calculated formation energy = 1.9588 eV/atom
VASP energy = -7.50 eV/atom
Symmetry = Pm-3m (221)
Relative energy among the computed polymorphs = 2346 meV per atom

a = 4.6988 Å, b = 4.6988 Å, c = 4.6988 Å
α = 90.00°, β = 90.00°, γ = 90.00°
Each line ends with the local moment (μB).
Fractional positions:
Ir (0.0000, 0.0000, 0.0000)  0.59
Ir (0.5000, 0.5000, 0.0000)  0.19
Ir (0.5000, 0.0000, 0.5000)  0.19
Ta (0.5000, 0.5000, 0.5000)  -0.03
Ir (0.0000, 0.5000, 0.5000)  0.19

=====

(4)
This record from the Alexandria database describes a relaxed structure of CoPRu2. The functional is PBE.

Output
Calculated formation energy = -0.1246 eV/atom
VASP energy = -7.89 eV/atom
Symmetry = Amm2 (38)

a = 3.6490 Å, b = 2.7651 Å, c = 5.2353 Å
α = 74.66°, β = 90.00°, γ = 90.00°
Each line ends with the local moment (μB).
Fractional positions:
P (0.5000, 0.9613, 0.6997)  0.00
Ru (0.0000, 0.8121, 0.0016)  0.02
Co (0.0000, 0.5400, 0.5454)  0.42
Ru (0.5000, 0.1866, 0.2533)  0.00